The following is a DFT calculation (PBE) of Ga3Si after structural relaxation.

Lattice parameters (Å, degrees): 5.5217 5.5217 5.5217 139.13 139.13 59.17
Last column: nearest neighbours and their distance in Å.
Sites, in units of the cell vectors:
Ga: 0.0000 0.0000 0.0000  4 Si 2.73
Ga: 0.2500 0.7500 0.5000  4 Ga 2.73
Ga: 0.7500 0.2500 0.5000  4 Ga 2.73
Si: 0.5000 0.5000 0.0000  4 Ga 2.73

Output
Energy relative to the elements, uncorrected ... 73 kJ/mol of formula units

***

The following is a DFT calculation (PBE) of Zn7Ga2Ag2 after structural relaxation.

Lattice parameters (Å, degrees): 5.4333 5.4333 6.4870 98.09 98.09 100.91
Last column: nearest neighbours and their distance in Å.
Sites, in units of the cell vectors:
Zn: 0.0000 0.0000 0.0000  2 Ag 2.64, 4 Zn 2.78
Zn: 0.1029 0.5378 0.8335  4 Zn 2.62-2.91, 2 Ga 2.72-2.77, 3 Ag 2.75-2.81
Zn: 0.2024 0.2024 0.5166  4 Ga 2.66-2.83, 3 Zn 2.73-2.76, 1 Ag 2.80
Zn: 0.4622 0.8971 0.1665  4 Zn 2.62-2.91, 2 Ga 2.72-2.77, 3 Ag 2.75-2.81
Zn: 0.5378 0.1029 0.8335  4 Zn 2.62-2.91, 2 Ga 2.72-2.77, 3 Ag 2.75-2.81
Zn: 0.7976 0.7976 0.4834  4 Ga 2.66-2.83, 3 Zn 2.73-2.76, 1 Ag 2.80
Zn: 0.8971 0.4622 0.1665  4 Zn 2.62-2.91, 2 Ga 2.72-2.77, 3 Ag 2.75-2.81
Ga: 0.2720 0.7280 0.5000  8 Zn 2.66-2.83, 2 Ag 2.84
Ga: 0.7280 0.2720 0.5000  8 Zn 2.66-2.83, 2 Ag 2.84
Ag: 0.3837 0.3837 0.1712  8 Zn 2.64-2.81, 2 Ga 2.84
Ag: 0.6163 0.6163 0.8288  8 Zn 2.64-2.81, 2 Ga 2.84

Output
ΔE_f ... 35 kJ/mol of formula units

***

The following is a DFT calculation (PBE) of LaScCd after structural relaxation.

Lattice parameters (Å, degrees): 6.2686 6.2686 6.6388 118.14 118.14 48.48
Last column: nearest neighbours and their distance in Å.
Sites, in units of the cell vectors:
La: 0.0000 0.0000 0.0000  5 Cd 3.29-3.56, 5 Sc 3.35-3.61, 3 La 3.58-3.59
La: 0.6456 0.6456 0.8232  4 Cd 3.16-3.48, 1 Sc 3.49
Sc: 0.2931 0.2931 0.5852  3 Cd 3.02-3.30
Sc: 0.9344 0.9344 0.4372  3 Cd 3.02-3.08, 1 La 3.35
Cd: 0.3460 0.3460 0.1407  1 Cd 2.98, 3 Sc 3.08-3.30
Cd: 0.6476 0.6476 0.3496  1 Cd 2.98, 3 Sc 3.02, 3 La 3.16-3.29

Output
ΔE_f ... -39 kJ/mol of formula units
Energy relative to the lowest polymorph listed for this composition ... 38 meV/atom